# GdVB4 (PBE-GGA, optimized geometry)
# Uncorrected energy in eV/atom: -8.996
# D(E_F) in states/eV/cell: 6.71
# Spin magnetization in μB per atom: 1.15
# Theoretical density in Mg/m³: 6.84
# ΔE_f in kJ/mol of atoms: -65.40
data_GdVB4
_chemical_formula_sum 'Gd4 V4 B16'
_space_group_name_H-M_alt 'P b a m'
_space_group_IT_number 55
_space_group_name_Hall '-P 2 2ab'
_cell_length_a 6.027
_cell_length_b 11.672
_cell_length_c 3.473
_cell_angle_alpha 90.00
_cell_angle_beta 90.00
_cell_angle_gamma 90.00
loop_
_atom_site_label
_atom_site_type_symbol
_atom_site_fract_x
_atom_site_fract_y
_atom_site_fract_z
Gd1 Gd 0.124 0.152 0.000
V1 V 0.126 0.417 0.000
B1 B 0.023 0.692 0.500
B2 B 0.114 0.547 0.500
B3 B 0.136 0.967 0.500
B4 B 0.215 0.815 0.500